# 1
## Ac5La2Er2 (PBE-GGA)

Data for Ac5La2Er2 after structural relaxation.

```
9
Lattice="3.862 0.000 0.000 1.917 8.305 0.000 0.010 2.712 11.180" Properties=species:S:1:pos:R:3 pbc="T T T"
Ac 0.000 0.000 0.000
Ac 1.923 3.116 1.285
Ac 1.938 3.955 4.968
Ac 3.852 7.062 6.213
Ac 3.867 7.901 9.895
La 1.916 9.139 3.698
La 3.874 1.878 7.482
Er 1.935 4.857 8.683
Er 3.854 6.160 2.497
```

Calculated values
ρ in g/cm³: 8.091
Magnetization in μB/atom: 0.00
Energy of formation from the pure elements in meV per atom: 47

***

# 2
## Ac2La5Er3 (PBE-GGA)

Data for Ac2La5Er3 after structural relaxation.

```
20
Lattice="5.551 -7.430 0.000 5.551 7.430 0.000 -5.543 0.000 8.995" Properties=species:S:1:pos:R:3 pbc="T T T"
Ac 1.361 1.815 0.496
Ac -1.410 -1.815 4.994
Ac 6.969 1.815 4.001
Ac 4.198 -1.815 8.499
La -1.372 1.807 6.791
La 1.394 3.902 6.747
La 4.165 3.331 2.249
La 1.400 -1.807 2.293
La 4.165 0.202 2.249
La 1.394 -0.202 6.747
La 4.159 1.807 6.702
La 1.394 -3.331 6.747
La 4.165 -3.902 2.249
La 6.931 -1.807 2.204
Er 1.394 7.065 6.747
Er 1.320 1.847 3.956
Er -1.451 -1.847 8.454
Er 7.010 1.847 0.542
Er 4.239 -1.847 5.039
Er 4.165 -7.065 2.249
```

Calculated values
ρ in g/cm³: 7.386
Magnetization in μB/atom: 0.00
Energy of formation from the pure elements in meV per atom: 179

***

# 3
## AcLa6Er3 (PBE-GGA)

Data for AcLa6Er3 after structural relaxation.

```
10
Lattice="5.064 2.924 4.177 -5.064 2.924 4.177 0.000 -5.847 4.177" Properties=species:S:1:pos:R:3 pbc="T T T"
Ac 0.000 0.000 0.000
La 3.345 0.056 8.345
La -3.318 -0.002 6.258
La -1.623 -2.925 8.345
La 1.661 -2.873 6.258
La -1.721 2.868 8.345
La 1.657 2.875 6.258
Er 0.000 0.000 3.253
Er 0.000 0.000 6.264
Er 0.000 0.000 9.274
```

Calculated values
ρ in g/cm³: 6.992
Magnetization in μB/atom: 0.00
Energy of formation from the pure elements in meV per atom: 218